# 1
# LuMg2

An optimized crystal structure of LuMg2 (PBE, the Alexandria database).

The value obtained for the energy of formation from the pure elements is -0.029 eV/atom. Its final energy is -15.6 eV for the cell shown. For the density of states at the Fermi level, the calculation gives 4.46 states/eV/cell. The total magnetization is 0.00 Bohr magnetons per cell. As for the crystal system: tetragonal.

a = 3.359 Å, b = 3.359 Å, c = 13.347 Å
α = 90.00°, β = 90.00°, γ = 90.00°
Space group I4/mmm (No. 139)
Inequivalent atoms, fractional coordinates:
Lu 0.000 0.000 0.000 x2
Mg 0.000 0.000 0.327 x4

# 2
# Fe2NiIr

An optimized crystal structure of Fe2NiIr (PBE, the Alexandria database).

The value obtained for the energy of formation from the pure elements is 0.054 eV/atom. Its final energy is -94.1 eV for the cell shown. For the density of states at the Fermi level, the calculation gives 14.33 states/eV/cell. The total magnetization is 18.56 Bohr magnetons per cell. As for the crystal system: trigonal.

a = 2.6423 Å, b = 2.6423 Å, c = 25.0959 Å
α = 90.00°, β = 90.00°, γ = 120.00°
Space group R3m (No. 160, hexagonal axes)
Inequivalent atoms, fractional coordinates:
Fe 0.0000 0.0000 0.0000 x3
Fe 0.0000 0.0000 0.2503 x3
Ni 0.0000 0.0000 0.7447 x3
Ir 0.0000 0.0000 0.4992 x3

# 3
# Co2HgSb2

An optimized crystal structure of Co2HgSb2 (PBE, the Alexandria database).

Its final energy is -41.6 eV for the cell shown. The energy relative to the lowest polymorph listed for this composition comes out at 1.53 eV/f.u. The value obtained for the formation energy from raw total energies is 0.39 eV/atom. For the density of states at the Fermi level, the calculation gives 6.31 states/eV/cell. The total magnetization is 4.39 Bohr magnetons per cell. As for the crystal system: tetragonal.

a = 4.374 Å, b = 4.374 Å, c = 10.562 Å
α = 90.00°, β = 90.00°, γ = 90.00°
Space group I4/mmm (No. 139)
Inequivalent atoms, fractional coordinates:
Co 0.000 0.000 0.114 x4
Hg 0.000 0.000 0.500 x2
Sb 0.000 0.500 0.250 x4

# 4
# Ac3NiTeBr

An optimized crystal structure of Ac3NiTeBr (PBE, the Alexandria database).

Its final energy is -56.4 eV for the cell shown. The value obtained for the formation energy from raw total energies is -0.88 eV/atom. For the density of states at the Fermi level, the calculation gives 6.73 states/eV/cell. The total magnetization is 0.00 Bohr magnetons per cell. As for the crystal system: monoclinic.

a = 9.044 Å, b = 4.347 Å, c = 10.829 Å
α = 90.00°, β = 104.95°, γ = 90.00°
Space group P2_1/m (No. 11)
Inequivalent atoms, fractional coordinates:
Ac 0.039 0.250 0.339 x2
Ac 0.212 0.250 0.000 x2
Ac 0.378 0.750 0.597 x2
Ni 0.166 0.250 0.613 x2
Te 0.308 0.750 0.257 x2
Br 0.396 0.750 0.887 x2

# 5
# Cs8I3Br4Cl

An optimized crystal structure of Cs8I3Br4Cl (PBE, the Alexandria database).

Its final energy is -94.8 eV for the cell shown. The value obtained for the formation energy from raw total energies is -1.71 eV/atom. For the density of states at the Fermi level, the calculation gives 0.00 states/eV/cell. The total magnetization is 0.89 Bohr magnetons per cell. As for the crystal system: monoclinic.

a = 18.407 Å, b = 10.631 Å, c = 10.682 Å
α = 90.00°, β = 125.03°, γ = 90.00°
Space group C2/m (No. 12)
Inequivalent atoms, fractional coordinates:
Cs 0.006 0.240 0.257 x8
Cs 0.244 0.000 0.731 x4
Cs 0.248 0.000 0.259 x4
I 0.000 0.500 0.000 x2
I 0.250 0.250 0.000 x4
Br 0.000 0.000 0.500 x2
Br 0.000 0.500 0.500 x2
Br 0.250 0.250 0.500 x4
Cl 0.000 0.000 0.000 x2

# 6
# KLiIn11

An optimized crystal structure of KLiIn11 (PBE, the Alexandria database).

The value obtained for the energy of formation from the pure elements is -0.062 eV/atom. Its final energy is -67.9 eV for the cell shown. For the density of states at the Fermi level, the calculation gives 11.12 states/eV/cell. The total magnetization is 0.00 Bohr magnetons per cell. As for the crystal system: monoclinic.

a = 6.116 Å, b = 15.310 Å, c = 8.099 Å
α = 90.00°, β = 108.23°, γ = 90.00°
Space group C2/m (No. 12)
Inequivalent atoms, fractional coordinates:
K 0.000 0.000 0.000 x2
Li 0.000 0.500 0.500 x2
In 0.000 0.000 0.500 x2
In 0.099 0.395 0.217 x8
In 0.194 0.174 0.365 x8
In 0.250 0.250 0.000 x4

# 7
# HfTiSe2Br

An optimized crystal structure of HfTiSe2Br (PBE, the Alexandria database).

Its final energy is -26.9 eV for the cell shown. The energy relative to the lowest polymorph listed for this composition comes out at 0.87 eV/f.u. The value obtained for the formation energy from raw total energies is -0.08 eV/atom. For the density of states at the Fermi level, the calculation gives 5.05 states/eV/cell. The total magnetization is 2.15 Bohr magnetons per cell. As for the crystal system: tetragonal.

a = 4.972 Å, b = 4.972 Å, c = 4.871 Å
α = 90.00°, β = 90.00°, γ = 90.00°
Space group P4/mmm (No. 123)
Inequivalent atoms, fractional coordinates:
Hf 0.000 0.000 0.000 x1
Ti 0.500 0.500 0.500 x1
Se 0.000 0.500 0.500 x2
Br 0.500 0.500 0.000 x1

# 8
# Os2SeCl

An optimized crystal structure of Os2SeCl (PBE, the Alexandria database).

Its final energy is -22.9 eV for the cell shown. The energy relative to the lowest polymorph listed for this composition comes out at 3.99 eV/f.u. The value obtained for the formation energy from raw total energies is 1.22 eV/atom. For the density of states at the Fermi level, the calculation gives 4.22 states/eV/cell. The total magnetization is 0.00 Bohr magnetons per cell. As for the crystal system: tetragonal.

a = 3.070 Å, b = 3.070 Å, c = 6.789 Å
α = 90.00°, β = 90.00°, γ = 90.00°
Space group P4/mmm (No. 123)
Inequivalent atoms, fractional coordinates:
Os 0.000 0.000 0.208 x2
Se 0.500 0.500 0.000 x1
Cl 0.500 0.500 0.500 x1

# 9
# HfBRh3

An optimized crystal structure of HfBRh3 (PBE, the Alexandria database).

The value obtained for the energy of formation from the pure elements is -0.383 eV/atom. Its final energy is -81.2 eV for the cell shown. The energy relative to the lowest polymorph listed for this composition comes out at 2.01 eV/f.u. For the density of states at the Fermi level, the calculation gives 2.33 states/eV/cell. The total magnetization is 0.00 Bohr magnetons per cell. As for the crystal system: hexagonal.

a = 4.3577 Å, b = 4.3577 Å, c = 8.4794 Å
α = 90.00°, β = 90.00°, γ = 120.00°
Space group P6_3/mmc (No. 194)
Inequivalent atoms, fractional coordinates:
Hf 0.3333 0.6667 0.2500 x2
B 0.0000 0.0000 0.0000 x2
Rh 0.0000 0.0000 0.2500 x2
Rh 0.3333 0.6667 0.5734 x4

# 10
# RbNdCu2F8

An optimized crystal structure of RbNdCu2F8 (PBE, the Alexandria database).

Its final energy is -118.8 eV for the cell shown. The value obtained for the formation energy from raw total energies is -2.54 eV/atom. The total magnetization is 4.00 Bohr magnetons per cell. As for the crystal system: tetragonal.

a = 5.866 Å, b = 5.866 Å, c = 10.789 Å
α = 90.00°, β = 90.00°, γ = 90.00°
Space group I-4 (No. 82)
Inequivalent atoms, fractional coordinates:
Rb 0.000 0.000 0.000 x2
Nd 0.000 0.500 0.250 x2
Cu 0.000 0.000 0.500 x2
Cu 0.000 0.500 0.750 x2
F 0.082 0.296 0.440 x8
F 0.179 0.764 0.788 x8

Among the records above, which one has the lowest final energy? RbNdCu2F8

Among the records above, which one has the lowest final energy? RbNdCu2F8